(1)
Computed, not measured: a relaxed structure of Sm3Si2H2Au4 at the PBE level of DFT.

The structure in CIF format:
```
data_Sm3Si2H2Au4
_chemical_formula_sum 'Sm6 Si4 H4 Au8'
_space_group_name_H-M_alt 'I 4/m m m'
_space_group_IT_number 139
_space_group_name_Hall '-I 4 2'
_cell_length_a 3.995
_cell_length_b 3.995
_cell_length_c 26.581
_cell_angle_alpha 90.00
_cell_angle_beta 90.00
_cell_angle_gamma 90.00
loop_
_atom_site_label
_atom_site_type_symbol
_atom_site_fract_x
_atom_site_fract_y
_atom_site_fract_z
Sm1 Sm 0.000 0.000 0.000
Sm2 Sm 0.000 0.000 0.196
Si1 Si 0.000 0.000 0.456
H1 H 0.000 0.000 0.283
Au1 Au 0.000 0.500 0.106
```

---

(2)
Computed, not measured: a relaxed structure of SiSnHAu2 at the PBE level of DFT.

The structure in CIF format:
```
data_SiSnHAu2
_chemical_formula_sum 'Si1 Sn1 H1 Au2'
_space_group_name_H-M_alt 'P 4/m m m'
_space_group_IT_number 123
_space_group_name_Hall '-P 4 2'
_cell_length_a 5.065
_cell_length_b 5.065
_cell_length_c 3.356
_cell_angle_alpha 90.00
_cell_angle_beta 90.00
_cell_angle_gamma 90.00
loop_
_atom_site_label
_atom_site_type_symbol
_atom_site_fract_x
_atom_site_fract_y
_atom_site_fract_z
Si1 Si 0.000 0.000 0.000
Sn1 Sn 0.500 0.500 0.500
H1 H 0.000 0.000 0.500
Au1 Au 0.000 0.500 0.000
```

---

(3)
Computed, not measured: a relaxed structure of Sr3Si2H2Au4 at the PBE level of DFT.

The structure in CIF format:
```
data_Sr3Si2H2Au4
_chemical_formula_sum 'Sr6 Si4 H4 Au8'
_space_group_name_H-M_alt 'I 4/m m m'
_space_group_IT_number 139
_space_group_name_Hall '-I 4 2'
_cell_length_a 4.241
_cell_length_b 4.241
_cell_length_c 27.122
_cell_angle_alpha 90.00
_cell_angle_beta 90.00
_cell_angle_gamma 90.00
loop_
_atom_site_label
_atom_site_type_symbol
_atom_site_fract_x
_atom_site_fract_y
_atom_site_fract_z
Sr1 Sr 0.000 0.000 0.000
Sr2 Sr 0.000 0.000 0.189
Si1 Si 0.000 0.000 0.456
H1 H 0.000 0.000 0.280
Au1 Au 0.000 0.500 0.096
```

---

(4)
Computed, not measured: a relaxed structure of SiH2WAu at the PBE level of DFT.

The structure in CIF format:
```
data_SiH2WAu
_chemical_formula_sum 'Si1 H2 W1 Au1'
_space_group_name_H-M_alt 'P 4/m m m'
_space_group_IT_number 123
_space_group_name_Hall '-P 4 2'
_cell_length_a 3.727
_cell_length_b 3.727
_cell_length_c 5.201
_cell_angle_alpha 90.00
_cell_angle_beta 90.00
_cell_angle_gamma 90.00
loop_
_atom_site_label
_atom_site_type_symbol
_atom_site_fract_x
_atom_site_fract_y
_atom_site_fract_z
Si1 Si 0.000 0.000 0.000
H1 H 0.000 0.500 0.000
W1 W 0.500 0.500 0.500
Au1 Au 0.000 0.000 0.500
```

---

(5)
Computed, not measured: a relaxed structure of SmHAu at the PBE level of DFT.

The structure in CIF format:
```
data_SmHAu
_chemical_formula_sum 'Sm2 H2 Au2'
_space_group_name_H-M_alt 'P m m n'
_space_group_IT_number 59
_cell_length_a 3.797
_cell_length_b 3.817
_cell_length_c 7.238
_cell_angle_alpha 90.00
_cell_angle_beta 90.00
_cell_angle_gamma 90.00
loop_
_space_group_symop_operation_xyz
'x,y,z'
'-x,-y,-z'
'-x+1/2,-y+1/2,z'
'x+1/2,y+1/2,-z'
'x+1/2,-y,-z'
'-x+1/2,y,z'
'-x,y+1/2,-z'
'x,-y+1/2,z'
loop_
_atom_site_label
_atom_site_type_symbol
_atom_site_fract_x
_atom_site_fract_y
_atom_site_fract_z
Sm1 Sm 0.250 0.250 0.183
H1 H 0.250 0.750 0.001
Au1 Au 0.250 0.250 0.610
```

---

(6)
Computed, not measured: a relaxed structure of Sm2HAu at the PBE level of DFT.

The structure in CIF format:
```
data_Sm2HAu
_chemical_formula_sum 'Sm8 H4 Au4'
_space_group_name_H-M_alt 'C 1 2/m 1'
_space_group_IT_number 12
_space_group_name_Hall '-C 2y'
_cell_length_a 14.344
_cell_length_b 3.867
_cell_length_c 6.993
_cell_angle_alpha 90.00
_cell_angle_beta 111.97
_cell_angle_gamma 90.00
loop_
_atom_site_label
_atom_site_type_symbol
_atom_site_fract_x
_atom_site_fract_y
_atom_site_fract_z
Sm1 Sm 0.020 0.000 0.273
Sm2 Sm 0.206 0.500 0.724
H1 H 0.114 0.000 0.616
Au1 Au 0.120 0.500 0.075
```

---

(7)
Computed, not measured: a relaxed structure of Sm2HAu at the PBE level of DFT.

The structure in CIF format:
```
data_Sm2HAu
_chemical_formula_sum 'Sm6 H3 Au3'
_space_group_name_H-M_alt 'R -3 m'
_space_group_IT_number 166
_space_group_name_Hall '-R 3 2"'
_cell_length_a 3.9480
_cell_length_b 3.9480
_cell_length_c 20.1521
_cell_angle_alpha 90.00
_cell_angle_beta 90.00
_cell_angle_gamma 120.00
loop_
_atom_site_label
_atom_site_type_symbol
_atom_site_fract_x
_atom_site_fract_y
_atom_site_fract_z
Sm1 Sm 0.0000 0.0000 0.2369
H1 H 0.0000 0.0000 0.5000
Au1 Au 0.0000 0.0000 0.0000
```

---

(8)
Computed, not measured: a relaxed structure of SmHAu at the PBE level of DFT.

The structure in CIF format:
```
data_SmHAu
_chemical_formula_sum 'Sm2 H2 Au2'
_space_group_name_H-M_alt 'I 4 m m'
_space_group_IT_number 107
_space_group_name_Hall 'I 4 -2'
_cell_length_a 3.510
_cell_length_b 3.510
_cell_length_c 9.442
_cell_angle_alpha 90.00
_cell_angle_beta 90.00
_cell_angle_gamma 90.00
loop_
_atom_site_label
_atom_site_type_symbol
_atom_site_fract_x
_atom_site_fract_y
_atom_site_fract_z
Sm1 Sm 0.000 0.000 0.000
H1 H 0.000 0.000 0.531
Au1 Au 0.000 0.000 0.308
```

---

(9)
Computed, not measured: a relaxed structure of Sn2HAu at the PBE level of DFT.

The structure in CIF format:
```
data_Sn2HAu
_chemical_formula_sum 'Sn8 H4 Au4'
_space_group_name_H-M_alt 'I -4 2 d'
_space_group_IT_number 122
_space_group_name_Hall 'I -4 2bw'
_cell_length_a 5.049
_cell_length_b 5.049
_cell_length_c 14.002
_cell_angle_alpha 90.00
_cell_angle_beta 90.00
_cell_angle_gamma 90.00
loop_
_atom_site_label
_atom_site_type_symbol
_atom_site_fract_x
_atom_site_fract_y
_atom_site_fract_z
Sn1 Sn 0.168 0.250 0.125
H1 H 0.000 0.000 0.000
Au1 Au 0.000 0.000 0.500
```

---

(10)
Computed, not measured: a relaxed structure of SnH2Au at the PBE level of DFT.

The structure in CIF format:
```
data_SnH2Au
_chemical_formula_sum 'Sn2 H4 Au2'
_space_group_name_H-M_alt 'P 1 21/m 1'
_space_group_IT_number 11
_space_group_name_Hall '-P 2yb'
_cell_length_a 3.283
_cell_length_b 4.459
_cell_length_c 8.278
_cell_angle_alpha 90.00
_cell_angle_beta 90.86
_cell_angle_gamma 90.00
loop_
_atom_site_label
_atom_site_type_symbol
_atom_site_fract_x
_atom_site_fract_y
_atom_site_fract_z
Sn1 Sn 0.246 0.250 0.326
H1 H 0.251 0.009 0.633
Au1 Au 0.250 0.250 0.997
```

---

(11)
Computed, not measured: a relaxed structure of Sn2HAu at the PBE level of DFT.

The structure in CIF format:
```
data_Sn2HAu
_chemical_formula_sum 'Sn8 H4 Au4'
_space_group_name_H-M_alt 'F m -3 m'
_space_group_IT_number 225
_space_group_name_Hall '-F 4 2 3'
_cell_length_a 6.731
_cell_length_b 6.731
_cell_length_c 6.731
_cell_angle_alpha 90.00
_cell_angle_beta 90.00
_cell_angle_gamma 90.00
loop_
_atom_site_label
_atom_site_type_symbol
_atom_site_fract_x
_atom_site_fract_y
_atom_site_fract_z
Sn1 Sn 0.250 0.250 0.250
H1 H 0.000 0.000 0.000
Au1 Au 0.000 0.000 0.500
```

---

(12)
Computed, not measured: a relaxed structure of Sn2HAu2 at the PBE level of DFT.

The structure in CIF format:
```
data_Sn2HAu2
_chemical_formula_sum 'Sn4 H2 Au4'
_space_group_name_H-M_alt 'P 4/m b m'
_space_group_IT_number 127
_space_group_name_Hall '-P 4 2ab'
_cell_length_a 7.613
_cell_length_b 7.613
_cell_length_c 3.698
_cell_angle_alpha 90.00
_cell_angle_beta 90.00
_cell_angle_gamma 90.00
loop_
_atom_site_label
_atom_site_type_symbol
_atom_site_fract_x
_atom_site_fract_y
_atom_site_fract_z
Sn1 Sn 0.167 0.333 0.000
H1 H 0.000 0.000 0.500
Au1 Au 0.138 0.638 0.500
```

---

(13)
Computed, not measured: a relaxed structure of SnH2Au2 at the PBE level of DFT.

The structure in CIF format:
```
data_SnH2Au2
_chemical_formula_sum 'Sn2 H4 Au4'
_space_group_name_H-M_alt 'C 1 2/m 1'
_space_group_IT_number 12
_space_group_name_Hall '-C 2y'
_cell_length_a 6.737
_cell_length_b 4.300
_cell_length_c 6.616
_cell_angle_alpha 90.00
_cell_angle_beta 113.88
_cell_angle_gamma 90.00
loop_
_atom_site_label
_atom_site_type_symbol
_atom_site_fract_x
_atom_site_fract_y
_atom_site_fract_z
Sn1 Sn 0.000 0.000 0.000
H1 H 0.014 0.000 0.564
Au1 Au 0.050 0.500 0.739
```

---

Number 1: calculated volume 19.3 Å³ per atom, DFT total energy -4.47 eV per atom. Number 2: calculated volume 17.2 Å³ per atom, DFT total energy -3.80 eV per atom. Number 3: calculated volume 22.2 Å³ per atom, DFT total energy -3.61 eV per atom. Number 4: calculated volume 14.4 Å³ per atom, DFT total energy -4.50 eV per atom. Number 5: calculated volume 17.5 Å³ per atom, DFT total energy -4.53 eV per atom. Number 6: calculated volume 22.5 Å³ per atom, DFT total energy -4.64 eV per atom. Number 7: calculated volume 22.7 Å³ per atom, DFT total energy -4.44 eV per atom. Number 8: calculated volume 19.4 Å³ per atom, DFT total energy -4.12 eV per atom. Number 9: calculated volume 22.3 Å³ per atom, DFT total energy -3.42 eV per atom. Number 10: calculated volume 15.1 Å³ per atom, DFT total energy -3.13 eV per atom. Number 11: calculated volume 19.1 Å³ per atom, DFT total energy -3.44 eV per atom. Number 12: calculated volume 21.4 Å³ per atom, DFT total energy -3.24 eV per atom. Number 13: calculated volume 17.5 Å³ per atom, DFT total energy -3.23 eV per atom.